Compound: SmVSO2
Source: Alexandria via LeMat-Bulk
Functional: PBE+U
Structure: optimized geometry

Output
Crystal system ... tetragonal
Final energy ... -37.7 eV/cell

Cell: 3.908 3.908 5.427 Å, 90.00 90.00 90.00°
Each line ends with the local moment (μB).
Fractional coordinates of all 5 atoms:
O1 0.500 0.000 0.930  -0.02
O2 0.000 0.500 0.930  -0.02
Sm1 0.500 0.500 0.675  0.01
S1 0.000 0.000 0.459  -0.02
V1 0.000 0.000 0.007  1.91